a:
This record from the Alexandria database describes Y3In4Hg2 after structural relaxation. The functional is PBE.

```
Y3In4Hg2
1.0
5.6268 -2.4474 0.0000
5.6268 2.4474 0.0000
-4.2215 0.0000 8.2832
Y In Hg
3 4 2
Cartesian
0.0000 0.0000 0.0000
2.3120 0.0000 2.7878
4.7200 0.0000 5.4954
-1.1566 0.0000 3.0432
-0.7991 0.0000 7.8353
7.8311 0.0000 0.4480
8.1886 0.0000 5.2400
1.1719 0.0000 5.7628
5.8601 0.0000 2.5205
```

Values from the calculation:
Calculated volume = 228 Å³/cell

***

b:
This record from the Alexandria database describes Y3In4Hg2 after structural relaxation. The functional is PBE.

```
Y3In4Hg2
1.0
7.7604 0.0000 0.0000
-3.8802 6.7207 0.0000
0.0000 0.0000 4.4357
Y In Hg
3 4 2
Cartesian
-1.5785 2.7340 0.0000
3.1570 0.0000 0.0000
2.3017 3.9867 0.0000
0.0000 0.0000 0.0000
-2.8695 4.9701 2.2178
1.0107 1.7506 2.2178
5.7390 0.0000 2.2178
0.0000 4.4805 2.2178
3.8802 2.2402 2.2178
```

Values from the calculation:
Calculated volume = 231 Å³/cell

***

Tell me which of them is the most stable. Sure, it is a.

***

a:
This record from the Alexandria database describes Zn2InHg after structural relaxation. The functional is PBE.

```
Zn2InHg
1.0
3.3780 0.0000 0.0000
-1.6890 2.9254 0.0000
0.0000 0.0000 25.6001
Zn In Hg
6 3 3
Cartesian
0.0000 0.0000 6.3242
0.0000 0.0000 19.2759
0.0000 1.9503 10.7425
0.0000 1.9503 23.3909
1.6890 0.9751 2.2091
1.6890 0.9751 14.8576
0.0000 0.0000 0.0000
0.0000 1.9503 17.0667
1.6890 0.9751 8.5334
0.0000 0.0000 12.8000
0.0000 1.9503 4.2667
1.6890 0.9751 21.3334
```

Values from the calculation:
Calculated volume = 253 Å³/cell

***

b:
This record from the Alexandria database describes Zn2InHg after structural relaxation. The functional is PBE.

```
Zn2InHg
1.0
3.3445 0.0000 0.0000
-1.6723 2.8964 0.0000
0.0000 0.0000 26.0363
Zn In Hg
6 3 3
Cartesian
0.0000 0.0000 0.0000
0.0000 0.0000 6.8906
0.0000 1.9310 17.3576
0.0000 1.9310 24.2482
1.6723 0.9655 8.6788
1.6723 0.9655 15.5694
0.0000 0.0000 19.6051
0.0000 1.9310 10.9263
1.6723 0.9655 2.2476
0.0000 0.0000 13.4619
0.0000 1.9310 4.7832
1.6723 0.9655 22.1407
```

Values from the calculation:
Calculated volume = 252 Å³/cell

***

Tell me which of them is the most stable. Sure, it is b.

***

a:
This record from the Alexandria database describes Zn2InHg after structural relaxation. The functional is PBE.

```
Zn2InHg
1.0
3.4722 0.0000 0.0000
0.0000 4.2489 0.0000
0.0000 0.0000 5.6304
Zn In Hg
2 1 1
Cartesian
0.0000 0.0000 0.0000
1.7361 2.1245 1.4696
1.7361 2.1245 4.3443
0.0000 0.0000 2.6923
```

Values from the calculation:
Calculated volume = 83 Å³/cell

***

b:
This record from the Alexandria database describes Zn2InHg after structural relaxation. The functional is PBE.

```
Zn2InHg
1.0
3.6039 0.0000 0.0000
0.0000 3.8634 0.0000
-0.7507 0.0000 6.0739
Zn In Hg
2 1 1
Cartesian
-0.1572 0.0000 1.5609
3.0104 0.0000 4.5130
1.8019 1.9317 0.0000
1.4266 1.9317 3.0369
```

Values from the calculation:
Calculated volume = 85 Å³/cell

***

Tell me which of them is the most stable. Sure, it is a.

***

a:
This record from the Alexandria database describes ZnIn2Hg4 after structural relaxation. The functional is PBE.

```
ZnIn2Hg4
1.0
5.2717 0.0000 0.0000
0.0000 5.2717 0.0000
0.0000 0.0000 14.9516
Zn In Hg
2 4 8
Cartesian
0.0000 0.0000 0.0000
2.6359 2.6359 7.4758
0.0000 0.0000 5.6728
0.0000 0.0000 9.2788
2.6359 2.6359 1.8030
2.6359 2.6359 13.1486
0.0000 0.0000 2.7587
0.0000 0.0000 12.1928
0.0000 2.6359 0.0000
0.0000 2.6359 7.4758
2.6359 0.0000 0.0000
2.6359 0.0000 7.4758
2.6359 2.6359 4.7171
2.6359 2.6359 10.2345
```

Values from the calculation:
Calculated volume = 416 Å³/cell

***

b:
This record from the Alexandria database describes ZnIn2Hg4 after structural relaxation. The functional is PBE.

```
ZnIn2Hg4
1.0
3.4391 0.0000 0.0000
-1.6719 3.2604 0.0000
-0.2141 -0.8919 15.6580
Zn In Hg
1 2 4
Cartesian
0.0000 0.0000 0.0000
-0.0923 0.5556 6.6745
1.5677 -0.0917 11.3926
-0.1649 1.1722 13.7357
0.0310 2.4910 4.2882
1.7371 1.2219 1.9529
1.5967 1.8582 9.0344
```

Values from the calculation:
Calculated volume = 176 Å³/cell

***

Tell me which of them is the most stable. Sure, it is b.

***

a:
This record from the Alexandria database describes ZnIn2Hg after structural relaxation. The functional is PBE.

```
ZnIn2Hg
1.0
4.5383 0.0000 0.0000
0.0000 4.5949 0.0000
0.0000 0.0000 4.6410
Zn In Hg
1 2 1
Cartesian
0.0000 0.0000 0.0000
2.2692 0.0000 2.3205
2.2692 2.2975 0.0000
0.0000 2.2975 2.3205
```

Values from the calculation:
Calculated volume = 97 Å³/cell

***

b:
This record from the Alexandria database describes ZnIn2Hg after structural relaxation. The functional is PBE.

```
ZnIn2Hg
1.0
4.6069 0.0000 0.0000
0.0000 4.6069 0.0000
0.0000 0.0000 9.0270
Zn In Hg
2 4 2
Cartesian
0.0000 0.0000 0.0000
2.3035 2.3035 4.5135
0.0000 2.3035 2.2568
0.0000 2.3035 6.7703
2.3035 0.0000 2.2568
2.3035 0.0000 6.7703
0.0000 0.0000 4.5135
2.3035 2.3035 0.0000
```

Values from the calculation:
Calculated volume = 192 Å³/cell

***

c:
This record from the Alexandria database describes ZnIn2Hg after structural relaxation. The functional is PBE.

```
ZnIn2Hg
1.0
3.6309 0.0000 0.0000
0.0000 5.5426 0.0000
0.0000 0.0000 9.7129
Zn In Hg
2 4 2
Cartesian
0.0000 0.0000 0.0000
1.8155 2.7713 0.0000
0.0000 0.0000 5.0094
0.0000 2.7713 2.2515
1.8155 0.0000 2.2515
1.8155 2.7713 5.0094
0.0000 2.7713 7.5871
1.8155 0.0000 7.5871
```

Values from the calculation:
Calculated volume = 195 Å³/cell

***

d:
This record from the Alexandria database describes ZnIn2Hg after structural relaxation. The functional is PBE.

```
ZnIn2Hg
1.0
4.5309 0.0000 0.0000
0.0000 4.8521 0.0000
-2.0406 0.0000 9.1062
Zn In Hg
2 4 2
Cartesian
0.0756 1.2130 2.8610
2.4146 3.6391 6.2453
0.0194 3.6391 1.1760
0.1362 3.6391 4.4939
2.3540 1.2130 4.6123
2.4708 1.2130 7.9302
0.1725 3.6391 7.9320
2.3177 1.2130 1.1742
```

Values from the calculation:
Calculated volume = 200 Å³/cell

***

Tell me which of them is the most stable. Sure, it is d.

***

a:
This record from the Alexandria database describes ZnIn2Hg after structural relaxation. The functional is PBE.

```
ZnIn2Hg
1.0
7.3087 0.0000 0.0000
0.0000 7.3087 0.0000
0.0000 0.0000 7.3087
Zn In Hg
4 8 4
Cartesian
0.0000 0.0000 0.0000
0.0000 3.6543 3.6543
3.6543 0.0000 3.6543
3.6543 3.6543 0.0000
1.8272 1.8272 1.8272
1.8272 1.8272 5.4815
1.8272 5.4815 1.8272
1.8272 5.4815 5.4815
5.4815 1.8272 1.8272
5.4815 1.8272 5.4815
5.4815 5.4815 1.8272
5.4815 5.4815 5.4815
0.0000 0.0000 3.6543
0.0000 3.6543 0.0000
3.6543 0.0000 0.0000
3.6543 3.6543 3.6543
```

Values from the calculation:
Calculated volume = 390 Å³/cell

***

b:
This record from the Alexandria database describes ZnIn2Hg after structural relaxation. The functional is PBE.

```
ZnIn2Hg
1.0
3.3213 0.0000 0.0000
0.0000 4.7994 0.0000
0.0000 0.0000 6.0510
Zn In Hg
1 2 1
Cartesian
0.0000 0.0000 0.0000
0.0000 0.0000 3.0253
1.6606 2.3997 4.6933
1.6606 2.3997 1.5766
```

Values from the calculation:
Calculated volume = 96 Å³/cell

***

Tell me which of them is the most stable. Sure, it is b.

***

a:
This record from the Alexandria database describes ZnIn2Hg after structural relaxation. The functional is PBE.

```
ZnIn2Hg
1.0
10.9004 0.0000 0.0000
0.0000 3.2248 0.0000
-1.8917 0.0000 5.4612
Zn In Hg
2 4 2
Cartesian
0.0000 0.0000 0.0000
5.4502 1.6124 0.0000
-0.4732 1.6124 2.5280
2.4501 1.6124 0.5689
4.9770 0.0000 2.5280
7.9003 0.0000 0.5689
2.1108 0.0000 3.5264
7.5610 1.6124 3.5264
```

Values from the calculation:
Calculated volume = 192 Å³/cell

***

b:
This record from the Alexandria database describes ZnIn2Hg after structural relaxation. The functional is PBE.

```
ZnIn2Hg
1.0
3.8552 0.0000 0.0000
0.0000 3.8552 0.0000
0.0000 0.0000 6.5544
Zn In Hg
1 2 1
Cartesian
0.0000 0.0000 0.0000
0.0000 0.0000 3.1934
1.9276 1.9276 5.0406
1.9276 1.9276 1.5191
```

Values from the calculation:
Calculated volume = 97 Å³/cell

***

c:
This record from the Alexandria database describes ZnIn2Hg after structural relaxation. The functional is PBE.

```
ZnIn2Hg
1.0
4.3748 0.0000 0.0000
0.0000 4.3748 0.0000
0.0000 0.0000 20.8865
Zn In Hg
4 8 4
Cartesian
0.0000 0.0000 0.0000
0.0000 2.1874 5.2216
2.1874 0.0000 15.6649
2.1874 2.1874 10.4433
1.0598 1.0937 2.6108
1.0937 3.2472 7.8324
1.0937 3.3151 18.2757
1.1277 1.0937 13.0541
3.2472 3.2811 13.0541
3.2811 1.0598 18.2757
3.2811 1.1277 7.8324
3.3151 3.2811 2.6108
0.0000 0.0000 10.4433
0.0000 2.1874 15.6649
2.1874 0.0000 5.2216
2.1874 2.1874 0.0000
```

Values from the calculation:
Calculated volume = 400 Å³/cell

***

Tell me which of them is the most stable. Sure, it is a.

***

a:
This record from the Alexandria database describes Zn2InHg2 after structural relaxation. The functional is PBE.

```
Zn2InHg2
1.0
7.5862 0.0000 0.0000
0.0000 7.5862 0.0000
0.0000 0.0000 3.8507
Zn In Hg
4 2 4
Cartesian
0.9241 2.8690 0.0000
2.8690 6.6621 0.0000
4.7172 0.9241 0.0000
6.6621 4.7172 0.0000
0.0000 0.0000 0.0000
3.7931 3.7931 0.0000
1.3560 5.1491 1.9253
2.4371 1.3560 1.9253
5.1491 6.2302 1.9253
6.2302 2.4371 1.9253
```

Values from the calculation:
Calculated volume = 222 Å³/cell

***

b:
This record from the Alexandria database describes Zn2InHg2 after structural relaxation. The functional is PBE.

```
Zn2InHg2
1.0
4.3881 0.0000 0.0000
0.0000 4.3881 0.0000
0.0000 0.0000 12.1580
Zn In Hg
4 2 4
Cartesian
0.0000 0.0000 1.2293
0.0000 0.0000 10.9287
2.1941 2.1941 4.8497
2.1941 2.1941 7.3083
0.0000 0.0000 6.0790
2.1941 2.1941 0.0000
0.0000 2.1941 3.0395
0.0000 2.1941 9.1185
2.1941 0.0000 3.0395
2.1941 0.0000 9.1185
```

Values from the calculation:
Calculated volume = 234 Å³/cell

***

Tell me which of them is the most stable. Sure, it is a.

***

a:
This record from the Alexandria database describes Zn2InHg2 after structural relaxation. The functional is PBE.

```
Zn2InHg2
1.0
4.0722 0.0000 0.0000
0.0000 4.0722 0.0000
0.0000 0.0000 13.6659
Zn In Hg
4 2 4
Cartesian
0.0000 2.0361 3.4165
0.0000 2.0361 10.2495
2.0361 0.0000 3.4165
2.0361 0.0000 10.2495
0.0000 0.0000 0.0000
2.0361 2.0361 6.8330
0.0000 0.0000 5.3447
0.0000 0.0000 8.3212
2.0361 2.0361 1.4883
2.0361 2.0361 12.1777
```

Values from the calculation:
Calculated volume = 227 Å³/cell

***

b:
This record from the Alexandria database describes Zn2InHg2 after structural relaxation. The functional is PBE.

```
Zn2InHg2
1.0
8.2447 0.0000 0.0000
0.0000 8.2447 0.0000
0.0000 0.0000 3.2769
Zn In Hg
4 2 4
Cartesian
1.2554 2.8670 0.0000
2.8670 6.9893 0.0000
5.3778 1.2554 0.0000
6.9893 5.3778 0.0000
0.0000 0.0000 1.6384
4.1224 4.1224 1.6384
1.2019 5.3243 1.6384
2.9204 1.2019 1.6384
5.3243 7.0428 1.6384
7.0428 2.9204 1.6384
```

Values from the calculation:
Calculated volume = 223 Å³/cell

***

Tell me which of them is the most stable. Sure, it is a.

***

a:
This record from the Alexandria database describes ZnIn6Hg12 after structural relaxation. The functional is PBE.

```
ZnIn6Hg12
1.0
5.5362 3.1963 4.9516
-5.5362 3.1963 4.9516
0.0000 -6.3927 4.9516
Zn In Hg
1 6 12
Cartesian
0.0000 0.0000 0.0000
-0.0819 -3.2717 5.1800
-2.7924 1.7068 5.1800
-2.8743 -1.5649 9.6749
2.8743 1.5649 5.1800
2.7924 -1.7068 9.6749
0.0819 3.2717 9.6749
-0.6859 -1.6931 2.6703
-1.1234 1.4406 2.6703
-1.8655 -1.0016 6.1796
1.8093 0.2526 2.6703
-0.0653 -2.1163 8.6752
-1.8001 1.1147 8.6752
1.8001 -1.1147 6.1796
0.0653 2.1163 6.1796
-1.8093 -0.2526 12.1846
1.8655 1.0016 8.6752
1.1233 -1.4406 12.1846
0.6859 1.6931 12.1846
```

Values from the calculation:
Calculated volume = 526 Å³/cell

***

b:
This record from the Alexandria database describes ZnIn6Hg12 after structural relaxation. The functional is PBE.

```
ZnIn6Hg12
1.0
7.1342 4.1189 2.8145
-7.1342 4.1189 2.8145
0.0000 -8.2379 2.8145
Zn In Hg
1 6 12
Cartesian
0.0000 0.0000 0.0000
-0.7841 -1.7543 2.7088
-1.1272 1.5562 2.7088
1.9113 0.1981 2.7088
-1.9113 -0.1981 5.7347
1.1272 -1.5563 5.7347
0.7842 1.7543 5.7347
-3.7284 -0.4066 2.9990
-0.4223 -5.0694 2.7538
-4.1791 2.9005 2.7538
-4.6014 -2.1690 5.6897
2.2163 -3.0256 2.9990
-1.5121 -3.4322 5.4445
1.5121 3.4322 2.9990
-2.2163 3.0256 5.4445
4.6014 2.1690 2.7538
4.1791 -2.9005 5.6897
0.4223 5.0694 5.6897
3.7284 0.4066 5.4445
```

Values from the calculation:
Calculated volume = 496 Å³/cell

***

Tell me which of them is the most stable. Sure, it is b.

***

a:
This record from the Alexandria database describes Zr4InHg after structural relaxation. The functional is PBE.

```
Zr4InHg
1.0
8.1350 0.0000 0.0000
0.0000 8.1542 0.0000
0.0000 0.0000 5.1623
Zr In Hg
8 2 2
Cartesian
0.0000 1.3162 0.0000
0.0000 6.8381 0.0000
1.3586 4.0771 2.5812
2.7089 0.0000 2.5812
4.0675 2.7609 0.0000
4.0675 5.3933 0.0000
5.4261 0.0000 2.5812
6.7764 4.0771 2.5812
0.0000 4.0771 0.0000
4.0675 0.0000 0.0000
0.0000 0.0000 2.5812
4.0675 4.0771 2.5812
```

Values from the calculation:
Calculated volume = 342 Å³/cell

***

b:
This record from the Alexandria database describes Zr4InHg after structural relaxation. The functional is PBE.

```
Zr4InHg
1.0
10.8896 0.0000 0.0000
0.0000 3.3238 0.0000
-2.9331 0.0000 7.4472
Zr In Hg
8 2 2
Cartesian
0.7837 0.0000 2.4909
-0.6230 0.0000 6.1819
3.1347 1.6619 1.2653
1.7280 1.6619 4.9563
6.2285 1.6619 2.4909
4.8218 1.6619 6.1819
8.5796 0.0000 1.2653
7.1728 0.0000 4.9563
0.0000 1.6619 0.0000
5.4448 0.0000 0.0000
-1.4666 1.6619 3.7236
3.9783 0.0000 3.7236
```

Values from the calculation:
Calculated volume = 270 Å³/cell

***

c:
This record from the Alexandria database describes Zr4InHg after structural relaxation. The functional is PBE.

```
Zr4InHg
1.0
0.0000 4.1017 4.1017
4.1017 0.0000 4.1017
4.1017 4.1017 0.0000
Zr In Hg
4 1 1
Cartesian
3.0818 3.0818 3.0818
5.1217 5.1217 3.0818
5.1217 3.0818 5.1217
3.0818 5.1217 5.1217
6.1526 6.1526 6.1526
0.0000 0.0000 0.0000
```

Values from the calculation:
Calculated volume = 138 Å³/cell

***

Tell me which of them is the most stable. Sure, it is b.